This record from Alexandria describes a geometry-optimized Pm4SnSb2Te structure. The functional is GGA-PBE.

a b c (Å): 4.4710 7.7858 7.7958
angles (deg): 70.79 90.00 90.00
Sites, in units of the cell vectors:
Pm 0.5000 0.7546 0.2430
Pm 0.0000 0.7517 0.7517
Pm 0.0000 0.2483 0.2483
Pm 0.5000 0.2454 0.7570
Sb 0.5000 0.0000 0.5000
Sb 0.0000 0.0000 0.0000
Te 0.0000 0.5000 0.5000
Sn 0.5000 0.5000 0.0000

Output
Raw formation energy ... -1.156 eV per atom
Density ... 6.9 g/cm³
V ... 32.0 Å³/atom